A relaxed Ho4Al2ZnCd crystal. Source: the Alexandria database, functional PBE-GGA.

Cell lengths 8.860, 8.860, 8.860 Å; angles 33.54, 33.54, 33.54 degrees
Positions (direct):
Ho 0.121 0.121 0.121
Ho 0.372 0.372 0.372
Ho 0.628 0.628 0.628
Ho 0.879 0.879 0.879
Al 0.248 0.248 0.248
Al 0.752 0.752 0.752
Zn 0.000 0.000 0.000
Cd 0.500 0.500 0.500

Properties
Energy relative to the elements ... -0.367 eV per atom
Density of states at the Fermi level ... 5.88 states/eV per cell
Space-group type ... No. 166
Final energy ... -3.87 eV/atom